Ac2Cd2Rh PBE-GGA optimized geometry; calculated volume = 29.44 A^3/atom; symmetry = P-1 (2); formation enthalpy at 0 K = -0.45 eV/atom; M_tot = 0.00 Bohr magnetons per cell; raw total energy = -19.65 eV per formula unit
1.0
4.138 0.000 0.000
2.059 6.064 0.000
2.060 1.962 11.730
Ac Cd Rh
4 4 2
Cartesian
1.030 2.320 1.876
3.088 5.243 4.290
5.170 2.783 7.440
7.227 5.705 9.855
3.095 5.038 0.628
3.100 1.851 4.627
5.158 6.175 7.103
5.162 2.988 11.102
3.096 1.872 9.413
5.161 6.154 2.318



Ac3Cd9Rh2 PBE-GGA optimized geometry; calculated volume = 25.10 A^3/atom; symmetry = Immm (71); formation enthalpy at 0 K = -0.31 eV/atom; M_tot = 0.00 Bohr magnetons per cell; raw total energy = -39.62 eV per formula unit
1.0
-2.494 5.351 6.582
2.494 -5.351 6.582
2.494 5.351 -6.582
Ac Cd Rh
3 9 2
Cartesian
0.000 0.000 0.000
0.000 0.000 4.069
0.000 0.000 9.095
2.494 -1.532 1.932
2.494 -2.351 4.945
2.494 1.532 1.932
0.000 3.000 1.637
0.000 5.351 0.000
2.494 2.351 4.945
0.000 3.819 4.650
0.000 7.702 1.637
0.000 6.883 4.650
2.494 3.722 0.000
0.000 1.629 6.582



Ac3Cd2Rh4 PBE-GGA optimized geometry; calculated volume = 24.41 A^3/atom; symmetry = C2/m (12); formation enthalpy at 0 K = -0.52 eV/atom; M_tot = 0.00 Bohr magnetons per cell; raw total energy = -48.20 eV per formula unit
1.0
5.332 -2.286 0.000
5.332 2.286 0.000
-0.731 0.000 9.013
Ac Cd Rh
3 2 4
Cartesian
0.000 0.000 0.000
3.510 0.000 5.614
6.423 0.000 3.399
3.302 0.000 1.977
6.630 0.000 7.036
0.422 0.000 5.645
2.271 0.000 8.225
7.662 0.000 0.788
9.511 0.000 3.369